Record 1
TbYAgOs: optimized geometry, PBE.

* space-group type: F-43m (216)
* calculated formation energy: -5.8 kcal/mol of atoms
* DOS(E_F): 9.7 states/eV per cell

Unit cell a=7.024 b=7.024 c=7.024 alpha=90.00 beta=90.00 gamma=90.00
Positions (direct):
Tb (0.000, 0.000, 0.000)
Tb (0.000, 0.500, 0.500)
Tb (0.500, 0.000, 0.500)
Tb (0.500, 0.500, 0.000)
Y (0.000, 0.000, 0.500)
Y (0.000, 0.500, 0.000)
Y (0.500, 0.000, 0.000)
Y (0.500, 0.500, 0.500)
Ag (0.250, 0.250, 0.750)
Ag (0.250, 0.750, 0.250)
Ag (0.750, 0.250, 0.250)
Ag (0.750, 0.750, 0.750)
Os (0.250, 0.250, 0.250)
Os (0.250, 0.750, 0.750)
Os (0.750, 0.250, 0.750)
Os (0.750, 0.750, 0.250)

Record 2
TcAgOs: optimized geometry, PBE.

* energy above the most stable polymorph in this dataset: 0 meV per atom
* space-group type: P3m1 (156)
* calculated formation energy: 6.0 kcal/mol of atoms
* DOS(E_F): 1.3 states/eV per cell

Unit cell a=2.767 b=2.767 c=7.066 alpha=90.00 beta=90.00 gamma=120.00
Positions (direct):
Tc (0.000, 0.000, 0.000)
Ag (0.667, 0.333, 0.356)
Os (0.333, 0.667, 0.712)

Record 3
TcAg2Os: optimized geometry, PBE.

* energy above the most stable polymorph in this dataset: 450 meV per atom
* space-group type: Imm2 (44)
* calculated formation energy: 16.4 kcal/mol of atoms
* DOS(E_F): 5.8 states/eV per cell

Unit cell a=2.810 b=4.851 c=9.623 alpha=90.00 beta=90.00 gamma=90.00
Positions (direct):
Tc (0.000, 0.000, 0.000)
Tc (0.500, 0.500, 0.500)
Ag (0.000, 0.000, 0.528)
Ag (0.000, 0.500, 0.765)
Ag (0.500, 0.000, 0.265)
Ag (0.500, 0.500, 0.028)
Os (0.000, 0.500, 0.286)
Os (0.500, 0.000, 0.786)

Record 4
TcAg2Os: optimized geometry, PBE.

* energy above the most stable polymorph in this dataset: 487 meV per atom
* space-group type: I4/mmm (139)
* calculated formation energy: 17.3 kcal/mol of atoms
* DOS(E_F): 9.1 states/eV per cell

Unit cell a=3.738 b=3.738 c=9.146 alpha=90.00 beta=90.00 gamma=90.00
Positions (direct):
Tc (0.000, 0.000, 0.000)
Tc (0.500, 0.500, 0.500)
Ag (0.000, 0.500, 0.250)
Ag (0.000, 0.500, 0.750)
Ag (0.500, 0.000, 0.250)
Ag (0.500, 0.000, 0.750)
Os (0.000, 0.000, 0.500)
Os (0.500, 0.500, 0.000)

Record 5
TcAgOs: optimized geometry, PBE.

* energy above the most stable polymorph in this dataset: 213 meV per atom
* space-group type: Imm2 (44)
* calculated formation energy: 10.9 kcal/mol of atoms
* DOS(E_F): 4.8 states/eV per cell

Unit cell a=2.810 b=3.799 c=8.664 alpha=90.00 beta=90.00 gamma=90.00
Positions (direct):
Tc (0.000, 0.000, 0.000)
Tc (0.500, 0.500, 0.500)
Ag (0.000, 0.000, 0.318)
Ag (0.500, 0.500, 0.818)
Os (0.000, 0.000, 0.637)
Os (0.500, 0.500, 0.137)

Record 6
TcAgOs4: optimized geometry, PBE.

* space-group type: F-43m (216)
* calculated formation energy: 18.2 kcal/mol of atoms
* DOS(E_F): 7.3 states/eV per cell

Unit cell a=5.134 b=5.134 c=5.134 alpha=60.00 beta=60.00 gamma=60.00
Positions (direct):
Tc (0.000, 0.000, 0.000)
Ag (0.750, 0.750, 0.750)
Os (0.375, 0.375, 0.375)
Os (0.375, 0.375, 0.875)
Os (0.375, 0.875, 0.375)
Os (0.875, 0.375, 0.375)

Record 7
TcAgOs2: optimized geometry, PBE.

* energy above the most stable polymorph in this dataset: 206 meV per atom
* space-group type: Pmm2 (25)
* calculated formation energy: 11.0 kcal/mol of atoms
* DOS(E_F): 4.2 states/eV per cell

Unit cell a=2.755 b=3.916 c=5.630 alpha=90.00 beta=90.00 gamma=90.00
Positions (direct):
Tc (0.000, 0.000, 0.000)
Ag (0.500, 0.500, 0.273)
Os (0.000, 0.000, 0.549)
Os (0.500, 0.500, 0.770)

Record 8
TcAgOs2: optimized geometry, PBE.

* energy above the most stable polymorph in this dataset: 565 meV per atom
* space-group type: F-43m (216)
* calculated formation energy: 19.2 kcal/mol of atoms
* DOS(E_F): 24.5 states/eV per cell

Unit cell a=6.248 b=6.248 c=6.248 alpha=90.00 beta=90.00 gamma=90.00
Positions (direct):
Tc (0.000, 0.000, 0.000)
Tc (0.000, 0.500, 0.500)
Tc (0.500, 0.000, 0.500)
Tc (0.500, 0.500, 0.000)
Ag (0.250, 0.250, 0.250)
Ag (0.250, 0.750, 0.750)
Ag (0.750, 0.250, 0.750)
Ag (0.750, 0.750, 0.250)
Os (0.000, 0.000, 0.500)
Os (0.000, 0.500, 0.000)
Os (0.250, 0.250, 0.750)
Os (0.250, 0.750, 0.250)
Os (0.500, 0.000, 0.000)
Os (0.500, 0.500, 0.500)
Os (0.750, 0.250, 0.250)
Os (0.750, 0.750, 0.750)

Record 9
TcAg2Os: optimized geometry, PBE.

* energy above the most stable polymorph in this dataset: 370 meV per atom
* space-group type: C2/m (12)
* calculated formation energy: 14.6 kcal/mol of atoms
* DOS(E_F): 8.2 states/eV per cell

Unit cell a=9.806 b=2.786 c=4.702 alpha=90.00 beta=99.71 gamma=90.00
Positions (direct):
Tc (0.000, 0.000, 0.000)
Tc (0.500, 0.500, 0.000)
Ag (0.249, 0.000, 0.750)
Ag (0.251, 0.500, 0.250)
Ag (0.749, 0.500, 0.750)
Ag (0.751, 0.000, 0.250)
Os (0.000, 0.500, 0.500)
Os (0.500, 0.000, 0.500)

Record 10
TcAgOs2: optimized geometry, PBE.

* energy above the most stable polymorph in this dataset: 202 meV per atom
* space-group type: C2/m (12)
* calculated formation energy: 10.9 kcal/mol of atoms
* DOS(E_F): 7.6 states/eV per cell

Unit cell a=9.246 b=2.747 c=4.827 alpha=90.00 beta=100.09 gamma=90.00
Positions (direct):
Tc (0.000, 0.000, 0.000)
Tc (0.500, 0.500, 0.000)
Ag (0.000, 0.500, 0.500)
Ag (0.500, 0.000, 0.500)
Os (0.239, 0.500, 0.230)
Os (0.261, 0.000, 0.770)
Os (0.739, 0.000, 0.230)
Os (0.761, 0.500, 0.770)

Record 11
TcAg2Os: optimized geometry, PBE.

* energy above the most stable polymorph in this dataset: 31 meV per atom
* space-group type: P4mm (99)
* calculated formation energy: 6.8 kcal/mol of atoms
* DOS(E_F): 2.0 states/eV per cell

Unit cell a=2.848 b=2.848 c=8.089 alpha=90.00 beta=90.00 gamma=90.00
Positions (direct):
Tc (0.000, 0.000, 0.000)
Ag (0.000, 0.000, 0.538)
Ag (0.500, 0.500, 0.271)
Os (0.500, 0.500, 0.808)

Record 12
TcAgOs2: optimized geometry, PBE.

* energy above the most stable polymorph in this dataset: 44 meV per atom
* space-group type: R3m (160)
* calculated formation energy: 7.2 kcal/mol of atoms
* DOS(E_F): 10.1 states/eV per cell

Unit cell a=2.757 b=2.757 c=27.776 alpha=90.00 beta=90.00 gamma=120.00
Positions (direct):
Tc (0.000, 0.000, 0.000)
Tc (0.333, 0.667, 0.667)
Tc (0.667, 0.333, 0.333)
Ag (0.000, 0.000, 0.244)
Ag (0.333, 0.667, 0.910)
Ag (0.667, 0.333, 0.577)
Os (0.000, 0.000, 0.488)
Os (0.000, 0.000, 0.743)
Os (0.333, 0.667, 0.154)
Os (0.333, 0.667, 0.410)
Os (0.667, 0.333, 0.077)
Os (0.667, 0.333, 0.821)

Record 13
TcAg2Os: optimized geometry, PBE.

* energy above the most stable polymorph in this dataset: 290 meV per atom
* space-group type: Cm (8)
* calculated formation energy: 12.7 kcal/mol of atoms
* DOS(E_F): 5.6 states/eV per cell

Unit cell a=9.101 b=2.708 c=5.235 alpha=90.00 beta=96.98 gamma=90.00
Positions (direct):
Tc (0.000, 0.000, 0.000)
Tc (0.500, 0.500, 0.000)
Ag (0.005, 0.500, 0.523)
Ag (0.253, 0.500, 0.305)
Ag (0.505, 0.000, 0.523)
Ag (0.753, 0.000, 0.305)
Os (0.255, 0.000, 0.828)
Os (0.755, 0.500, 0.828)

Record 14
TcAgOs: optimized geometry, PBE.

* energy above the most stable polymorph in this dataset: 114 meV per atom
* space-group type: I4mm (107)
* calculated formation energy: 8.6 kcal/mol of atoms
* DOS(E_F): 5.0 states/eV per cell

Unit cell a=2.838 b=2.838 c=11.832 alpha=90.00 beta=90.00 gamma=90.00
Positions (direct):
Tc (0.000, 0.000, 0.000)
Tc (0.500, 0.500, 0.500)
Ag (0.000, 0.000, 0.684)
Ag (0.500, 0.500, 0.184)
Os (0.000, 0.000, 0.367)
Os (0.500, 0.500, 0.867)

Record 15
TcAgOs2: optimized geometry, PBE.

* energy above the most stable polymorph in this dataset: 233 meV per atom
* space-group type: Cm (8)
* calculated formation energy: 11.6 kcal/mol of atoms
* DOS(E_F): 7.3 states/eV per cell

Unit cell a=9.244 b=2.759 c=4.812 alpha=90.00 beta=100.00 gamma=90.00
Positions (direct):
Tc (0.000, 0.000, 0.000)
Tc (0.500, 0.500, 0.000)
Ag (0.239, 0.000, 0.733)
Ag (0.739, 0.500, 0.733)
Os (0.242, 0.500, 0.234)
Os (0.478, 0.000, 0.460)
Os (0.742, 0.000, 0.234)
Os (0.978, 0.500, 0.460)

Record 16
TcAgOs: optimized geometry, PBE.

* energy above the most stable polymorph in this dataset: 275 meV per atom
* space-group type: Fmm2 (42)
* calculated formation energy: 12.3 kcal/mol of atoms
* DOS(E_F): 11.8 states/eV per cell

Unit cell a=2.851 b=4.592 c=14.537 alpha=90.00 beta=90.00 gamma=90.00
Positions (direct):
Tc (0.000, 0.000, 0.000)
Tc (0.000, 0.500, 0.500)
Tc (0.500, 0.000, 0.500)
Tc (0.500, 0.500, 0.000)
Ag (0.000, 0.000, 0.324)
Ag (0.000, 0.500, 0.824)
Ag (0.500, 0.000, 0.824)
Ag (0.500, 0.500, 0.324)
Os (0.000, 0.000, 0.647)
Os (0.000, 0.500, 0.147)
Os (0.500, 0.000, 0.147)
Os (0.500, 0.500, 0.647)

Record 17
TcAg2Os: optimized geometry, PBE.

* energy above the most stable polymorph in this dataset: 440 meV per atom
* space-group type: I-4m2 (119)
* calculated formation energy: 16.2 kcal/mol of atoms
* DOS(E_F): 6.5 states/eV per cell

Unit cell a=4.053 b=4.053 c=7.641 alpha=90.00 beta=90.00 gamma=90.00
Positions (direct):
Tc (0.000, 0.000, 0.000)
Tc (0.500, 0.500, 0.500)
Ag (0.000, 0.000, 0.500)
Ag (0.000, 0.500, 0.750)
Ag (0.500, 0.000, 0.250)
Ag (0.500, 0.500, 0.000)
Os (0.000, 0.500, 0.250)
Os (0.500, 0.000, 0.750)

Record 18
TcAgOs2: optimized geometry, PBE.

* energy above the most stable polymorph in this dataset: 566 meV per atom
* space-group type: Fm-3m (225)
* calculated formation energy: 19.3 kcal/mol of atoms
* DOS(E_F): 16.7 states/eV per cell

Unit cell a=6.248 b=6.248 c=6.248 alpha=90.00 beta=90.00 gamma=90.00
Positions (direct):
Tc (0.000, 0.000, 0.000)
Tc (0.000, 0.500, 0.500)
Tc (0.500, 0.000, 0.500)
Tc (0.500, 0.500, 0.000)
Ag (0.000, 0.000, 0.500)
Ag (0.000, 0.500, 0.000)
Ag (0.500, 0.000, 0.000)
Ag (0.500, 0.500, 0.500)
Os (0.250, 0.250, 0.250)
Os (0.250, 0.250, 0.750)
Os (0.250, 0.750, 0.250)
Os (0.250, 0.750, 0.750)
Os (0.750, 0.250, 0.250)
Os (0.750, 0.250, 0.750)
Os (0.750, 0.750, 0.250)
Os (0.750, 0.750, 0.750)

Record 19
TcAg2Os: optimized geometry, PBE.

* energy above the most stable polymorph in this dataset: 487 meV per atom
* space-group type: P4/mmm (123)
* calculated formation energy: 17.3 kcal/mol of atoms
* DOS(E_F): 4.6 states/eV per cell

Unit cell a=3.737 b=3.737 c=4.572 alpha=90.00 beta=90.00 gamma=90.00
Positions (direct):
Tc (0.000, 0.000, 0.000)
Ag (0.000, 0.500, 0.500)
Ag (0.500, 0.000, 0.500)
Os (0.500, 0.500, 0.000)

Record 20
TcAgOs2: optimized geometry, PBE.

* energy above the most stable polymorph in this dataset: 366 meV per atom
* space-group type: Imm2 (44)
* calculated formation energy: 14.6 kcal/mol of atoms
* DOS(E_F): 7.6 states/eV per cell

Unit cell a=2.740 b=4.638 c=10.044 alpha=90.00 beta=90.00 gamma=90.00
Positions (direct):
Tc (0.000, 0.000, 0.000)
Tc (0.500, 0.500, 0.500)
Ag (0.000, 0.500, 0.794)
Ag (0.500, 0.000, 0.294)
Os (0.000, 0.000, 0.565)
Os (0.000, 0.500, 0.279)
Os (0.500, 0.000, 0.779)
Os (0.500, 0.500, 0.065)